1.
KSnHgTe3: relaxed, PBE.

Lattice parameters (Å, degrees): 4.3817 9.5326 10.7725 104.47 90.00 90.00
With the nearest neighbours (Å) after each atom.
Fractional positions:
Hg: 0.2500 0.0746 0.6263  4 Te 2.87-2.99
K: 0.2500 0.2097 0.2651  7 Te 3.61-3.83, 2 Hg 3.89
Hg: 0.7500 0.9254 0.3737  4 Te 2.87-2.99
Te: 0.7500 0.8972 0.1018  1 Hg 2.87, 2 Sn 3.10
Te: 0.2500 0.5381 0.8350  3 Sn 2.93-3.10
Sn: 0.7500 0.3301 0.8881  5 Te 2.93-3.10
K: 0.7500 0.7903 0.7349  7 Te 3.61-3.83, 2 Hg 3.89
Te: 0.7500 0.2270 0.5409  3 Hg 2.90-2.99
Te: 0.7500 0.4619 0.1650  3 Sn 2.93-3.10
Te: 0.2500 0.7730 0.4591  3 Hg 2.90-2.99
Sn: 0.2500 0.6699 0.1119  5 Te 2.93-3.10
Te: 0.2500 0.1028 0.8982  1 Hg 2.87, 2 Sn 3.10

Computed properties:
mass density	5.7	g cm⁻³
raw total energy	-2.8608	eV per atom
total magnetic moment	0.00	μB per atom
E_form (uncorrected)	-0.39	eV per atom

2.
PaGe2Au: relaxed, PBE.

Lattice parameters (Å, degrees): 4.0630 4.4561 4.4561 90.00 90.00 90.00
With the nearest neighbours (Å) after each atom.
Fractional positions:
Ge: 0.0000 0.5000 0.0000  4 Pa 3.02, 4 Au 3.02, 4 Ge 3.15
Ge: 0.0000 0.0000 0.5000  4 Pa 3.02, 4 Au 3.02, 4 Ge 3.15
Au: 0.5000 0.0000 0.0000  8 Ge 3.02, 4 Pa 3.15
Pa: 0.5000 0.5000 0.5000  8 Ge 3.02, 4 Au 3.15

Computed properties:
mass density	11.8	g cm⁻³
raw total energy	-5.9060	eV per atom
total magnetic moment	0.00	μB per atom
ΔH_f (0 K)	-0.4040	eV per atom

3.
K2SO3: relaxed, PBE.

Lattice parameters (Å, degrees): 5.2879 5.2879 9.7011 104.41 104.41 95.00
With the nearest neighbours (Å) after each atom.
Fractional positions:
O: 0.2164 0.2164 0.8265  1 S 1.60
S: 0.3709 0.3709 0.7419  3 O 1.60-1.61
S: 0.6291 0.6291 0.2581  3 O 1.60-1.61
K: 0.7780 0.2220 0.0000  8 O 3.02-3.18, 2 S 3.18
O: 0.6101 0.6101 0.8265  1 S 1.60
O: 0.7836 0.7836 0.1735  1 S 1.60
K: 0.2500 0.7500 0.5000  4 O 2.70
K: 0.7500 0.2500 0.5000  4 O 2.70
O: 0.3899 0.3899 0.1735  1 S 1.60
K: 0.2220 0.7780 0.0000  8 O 3.02-3.18, 2 S 3.18
O: 0.2815 0.2815 0.5630  1 S 1.61
O: 0.7185 0.7185 0.4370  1 S 1.61

Computed properties:
mass density	2.1	g cm⁻³
raw total energy	-4.6599	eV per atom
total magnetic moment	0.33	μB per atom
E_form (uncorrected)	-1.13	eV per atom

4.
Cd2InRu: relaxed, PBE.

Lattice parameters (Å, degrees): 3.0541 3.0541 8.9063 90.00 90.00 90.00
With the nearest neighbours (Å) after each atom.
Fractional positions:
Cd: 0.0000 0.0000 0.9589  4 Ru 2.85, 4 Cd 3.05
In: 0.5000 0.5000 0.2500  4 In 3.05, 8 Cd 3.37
Cd: 0.0000 0.0000 0.5411  4 Ru 2.85, 4 Cd 3.05
Ru: 0.5000 0.5000 0.7500  8 Cd 2.85, 4 Ru 3.05

Computed properties:
mass density	8.8	g cm⁻³
raw total energy	-3.1788	eV per atom
total magnetic moment	0.25	μB per atom
ΔH_f (0 K)	0.2823	eV per atom

5.
SrTc3Ni: relaxed, PBE.

Lattice parameters (Å, degrees): 4.6929 4.6929 4.6929 90.00 90.00 90.00
With the nearest neighbours (Å) after each atom.
Fractional positions:
Sr: 0.0000 0.0000 0.0000  6 Tc 2.35
Ni: 0.5000 0.5000 0.5000  12 Tc 3.32
Tc: 0.0000 0.5000 0.0000  2 Sr 2.35
Tc: 0.5000 0.0000 0.0000  2 Sr 2.35
Tc: 0.0000 0.0000 0.5000  2 Sr 2.35

Computed properties:
mass density	7.1	g cm⁻³
raw total energy	-4.5067	eV per atom
total magnetic moment	0.00	μB per atom
ΔH_f (0 K)	3.2055	eV per atom

6.
La2TlZn3Pd4: relaxed, PBE.

Lattice parameters (Å, degrees): 4.3401 4.3401 11.0485 90.00 90.00 90.00
With the nearest neighbours (Å) after each atom.
Fractional positions:
La: 0.0000 0.5000 0.7631  8 Pd 3.30-3.40, 6 Zn 3.33-3.63, 2 Tl 3.63
Zn: 0.0000 0.5000 0.1206  5 Pd 2.49-2.55
Pd: 0.5000 0.5000 0.0000  4 Zn 2.55
Zn: 0.5000 0.0000 0.8794  5 Pd 2.49-2.55
Pd: 0.5000 0.0000 0.6538  3 Zn 2.49-2.76, 2 Tl 2.76
Zn: 0.0000 0.0000 0.5000  4 Pd 2.76, 4 Tl 3.07
Pd: 0.0000 0.5000 0.3462  3 Zn 2.49-2.76, 2 Tl 2.76
La: 0.5000 0.0000 0.2369  8 Pd 3.30-3.40, 6 Zn 3.33-3.63, 2 Tl 3.63
Tl: 0.5000 0.5000 0.5000  4 Pd 2.76, 4 Zn 3.07
Pd: 0.0000 0.0000 0.0000  4 Zn 2.55

Computed properties:
mass density	8.8	g cm⁻³
raw total energy	-4.2618	eV per atom
total magnetic moment	0.00	μB per atom
ΔH_f (0 K)	-0.5804	eV per atom

7.
Tb3Ho6Tm2: relaxed, PBE.

Lattice parameters (Å, degrees): 4.6844 4.6844 16.7750 98.03 98.03 90.00
With the nearest neighbours (Å) after each atom.
Fractional positions:
Tm: 0.5461 0.5461 0.0921  1 Tm 3.03
Tb: 0.7996 0.7996 0.5992  9 Ho 3.32-3.51
Tm: 0.4539 0.4539 0.9079  1 Tm 3.03
Ho: 0.6207 0.1207 0.2415  6 Ho 3.31-3.40, 2 Tm 3.39, 2 Tb 3.51
Ho: 0.1207 0.6207 0.2415  6 Ho 3.31-3.40, 2 Tm 3.39, 2 Tb 3.51
Ho: 0.6958 0.6958 0.3917  5 Tb 3.32-3.41, 4 Ho 3.40
Ho: 0.3793 0.8793 0.7585  6 Ho 3.31-3.40, 2 Tm 3.39, 2 Tb 3.51
Ho: 0.8793 0.3793 0.7585  6 Ho 3.31-3.40, 2 Tm 3.39, 2 Tb 3.51
Ho: 0.3042 0.3042 0.6083  5 Tb 3.32-3.41, 4 Ho 3.40
Tb: 0.2004 0.2004 0.4008  9 Ho 3.32-3.51
Tb: 0.0000 0.0000 0.0000  8 Tm 3.64

Computed properties:
mass density	8.3	g cm⁻³
raw total energy	-4.2835	eV per atom
total magnetic moment	0.00	μB per atom
ΔH_f (0 K)	0.2893	eV per atom

8.
CsMn2PPt: relaxed, PBE.

Lattice parameters (Å, degrees): 4.6843 5.1914 4.6843 90.00 90.00 90.00
With the nearest neighbours (Å) after each atom.
Fractional positions:
Mn: 0.0000 0.0000 0.5000  2 Cs 2.34
P: 0.5000 0.5000 0.5000  4 Pt 3.31, 8 Mn 3.50
Mn: 0.5000 0.0000 0.0000  2 Cs 2.34
Cs: 0.0000 0.0000 0.0000  4 Mn 2.34, 2 Pt 2.60
Pt: 0.0000 0.5000 0.0000  2 Cs 2.60

Computed properties:
mass density	6.8	g cm⁻³
raw total energy	-3.1743	eV per atom
total magnetic moment	0.03	μB per atom
ΔH_f (0 K)	2.9543	eV per atom

9.
NbRhIO2: relaxed, PBE.

Lattice parameters (Å, degrees): 3.9135 3.9135 6.0955 90.00 90.00 90.00
With the nearest neighbours (Å) after each atom.
Fractional positions:
O: 0.0000 0.5000 0.0000  2 Nb 1.96
O: 0.5000 0.0000 0.0000  2 Nb 1.96
Rh: 0.5000 0.5000 0.5000  4 I 2.77
I: 0.0000 0.0000 0.5000  4 Rh 2.77, 2 Nb 3.05
Nb: 0.0000 0.0000 0.0000  4 O 1.96

Computed properties:
mass density	6.3	g cm⁻³
raw total energy	-6.6601	eV per atom
total magnetic moment	0.12	μB per atom
E_form (uncorrected)	-0.88	eV per atom

10.
NbInGe2O8: relaxed, PBE.

Lattice parameters (Å, degrees): 5.7047 5.7047 5.7047 107.94 107.94 112.57
With the nearest neighbours (Å) after each atom.
Fractional positions:
O: 0.3679 0.0650 0.3028  1 Ge 1.77
O: 0.2961 0.4764 0.1803  1 Ge 1.77
O: 0.7622 0.0650 0.6972  1 Ge 1.77
In: 0.2500 0.7500 0.5000  8 O 2.17-2.39
O: 0.5236 0.7039 0.8197  1 Ge 1.77
O: 0.8842 0.7039 0.1803  1 Ge 1.77
Nb: 0.0000 0.0000 0.0000  8 O 2.07-2.23
Ge: 0.7500 0.2500 0.5000  4 O 1.77
O: 0.2961 0.1158 0.8197  1 Ge 1.77
Ge: 0.5000 0.5000 0.0000  4 O 1.77
O: 0.9350 0.6321 0.6972  1 Ge 1.77
O: 0.9350 0.2378 0.3028  1 Ge 1.77

Computed properties:
mass density	5.6	g cm⁻³
raw total energy	-6.9567	eV per atom
total magnetic moment	0.00	μB per atom
E_form (uncorrected)	-1.81	eV per atom

11.
Eu2MgRh: relaxed, PBE.

Lattice parameters (Å, degrees): 3.5690 3.5690 8.4061 90.00 90.00 90.00
With the nearest neighbours (Å) after each atom.
Fractional positions:
Eu: 0.0000 0.0000 0.7967  4 Rh 3.05
Mg: 0.5000 0.5000 0.5000  8 Eu 3.55, 4 Mg 3.57
Rh: 0.5000 0.5000 0.0000  8 Eu 3.05
Eu: 0.0000 0.0000 0.2033  4 Rh 3.05

Computed properties:
mass density	6.7	g cm⁻³
raw total energy	-7.6204	eV per atom
total magnetic moment	3.57	μB per atom
ΔH_f (0 K)	-0.2467	eV per atom

12.
Nd3CF3: relaxed, PBE.

Lattice parameters (Å, degrees): 6.6800 6.6800 7.7558 64.49 64.49 60.00
With the nearest neighbours (Å) after each atom.
Fractional positions:
C: 0.3333 0.3333 0.0002  6 Nd 2.61-2.62
Nd: 0.7176 0.4303 0.7799  4 F 2.47-2.64, 2 C 2.61-2.62
C: 0.6667 0.6667 0.9998  6 Nd 2.61-2.62
Nd: 0.2824 0.5697 0.2201  4 F 2.47-2.64, 2 C 2.61-2.62
F: 0.4401 0.8120 0.6127  4 Nd 2.47-2.64, 3 F 2.65-2.72
Nd: 0.4303 0.0722 0.7799  4 F 2.47-2.64, 2 C 2.61-2.62
F: 0.1880 0.8648 0.3873  4 Nd 2.47-2.64, 3 F 2.65-2.73
F: 0.8120 0.1352 0.6127  4 Nd 2.47-2.64, 3 F 2.65-2.73
F: 0.1352 0.4401 0.6127  4 Nd 2.47-2.64, 3 F 2.65-2.73
F: 0.5599 0.1880 0.3873  4 Nd 2.47-2.64, 3 F 2.65-2.72
Nd: 0.9278 0.2824 0.2201  4 F 2.47-2.64, 2 C 2.61-2.62
Nd: 0.5697 0.9278 0.2201  4 F 2.47-2.64, 2 C 2.61-2.62
F: 0.8648 0.5599 0.3873  4 Nd 2.47-2.64, 3 F 2.65-2.73
Nd: 0.0722 0.7176 0.7799  4 F 2.47-2.64, 2 C 2.61-2.62

Computed properties:
mass density	6.4	g cm⁻³
raw total energy	-6.5049	eV per atom
total magnetic moment	0.00	μB per atom
E_form (uncorrected)	-2.34	eV per atom